(1)
# BaCaB12

An optimized crystal structure of BaCaB12 (GGA-PBE, Alexandria).

Unit cell a=8.432 b=8.432 c=8.432 alpha=90.00 beta=90.00 gamma=90.00
Space group Fm-3m (No. 225)
Asymmetric unit:
1 Ba 0.000 0.000 0.000
2 Ca 0.000 0.000 0.500
3 B 0.102 0.250 0.250

Summary:
Its mass density is 3.403 Mg/m³. The uncorrected energy comes out at -358.70 eV/cell. The value obtained for the volume is 10.7 Å³/atom. Its total magnetic moment is 0.00 μB per atom.

---

(2)
# Zr2TeIr

An optimized crystal structure of Zr2TeIr (GGA-PBE, Alexandria).

Unit cell a=3.485 b=3.511 c=6.835 alpha=90.00 beta=96.44 gamma=90.00
Space group P2/m (No. 10)
Asymmetric unit:
1 Zr 0.017 0.000 0.275
2 Te 0.500 0.500 0.000
3 Ir 0.500 0.500 0.500

Summary:
Its mass density is 10.035 Mg/m³. As for the formation energy from raw total energies: -0.55 eV per atom. The value obtained for the volume is 20.8 Å³/atom. Its total magnetic moment is 0.00 μB per atom.

---

(3)
# ZnHg3Bi

An optimized crystal structure of ZnHg3Bi (GGA-PBE, Alexandria).

Unit cell a=6.092 b=6.092 c=6.092 alpha=90.00 beta=90.00 gamma=90.00
Space group Pm-3m (No. 221)
Asymmetric unit:
1 Zn 0.000 0.000 0.000
2 Hg 0.000 0.500 0.500
3 Bi 0.500 0.500 0.500

Summary:
Its mass density is 6.435 Mg/m³. The value obtained for the energy above the most stable polymorph in this dataset is 0.18 eV per formula unit. The value obtained for the volume is 45.2 Å³/atom. Its total magnetic moment is 0.00 μB per atom.